A plane-wave DFT calculation with PBE was carried out for Rb3ErAg2Cl8 after structural relaxation.

Formation energy without anion corrections   -1.596 eV per atom
DOS(E_F)   0.000 states/eV/cell
Calculated total energy   -50.29 eV/cell

abc: 7.4017 7.4017 9.8740
angles: 90.00 90.00 120.00
Fractional coordinates of all 14 atoms:
Rb  0.0000  0.0000  0.0000
Rb  0.3333  0.6667  0.6223
Rb  0.6667  0.3333  0.3777
Er  0.0000  0.0000  0.5000
Ag  0.3333  0.6667  0.1803
Ag  0.6667  0.3333  0.8197
Cl  0.1642  0.3285  0.3440
Cl  0.1642  0.8358  0.3440
Cl  0.3285  0.1642  0.6560
Cl  0.3333  0.6667  0.9370
Cl  0.6667  0.3333  0.0630
Cl  0.6715  0.8358  0.3440
Cl  0.8358  0.1642  0.6560
Cl  0.8358  0.6715  0.6560